[1]
Computed, not measured: a relaxed GdZnNiPb crystal at the GGA-PBE level of DFT.

The value obtained for the total energy is -0.2359 hartree per atom. The value obtained for the total magnetization is 7.01 μB per formula unit. For the density of states at the Fermi level, the calculation gives 2.3 states/eV/f.u. The energy relative to the elements is -209 meV/atom.

The structure belongs to space group F-43m (No. 216); the cell edges are 6.8474, 6.8474 and 6.8474 Å and the angles 90.00°, 90.00° and 90.00°. The distinct sites, in fractional coordinates, are Gd at (0.0000, 0.0000, 0.0000), Zn at (0.2500, 0.2500, 0.2500), Ni at (0.2500, 0.2500, 0.7500) and Pb at (0.0000, 0.0000, 0.5000).

[2]
Computed, not measured: a relaxed GdNi2Pd crystal at the GGA-PBE level of DFT.

The value obtained for the total energy is -0.2973 hartree per atom. The value obtained for the total magnetization is 6.59 μB per formula unit. For the density of states at the Fermi level, the calculation gives 5.8 states/eV/f.u. The energy relative to the elements is -381 meV/atom.

The structure belongs to space group P4/mmm (No. 123); the cell edges are 4.0198, 4.0198 and 3.9063 Å and the angles 90.00°, 90.00° and 90.00°. The distinct sites, in fractional coordinates, are Gd at (0.0000, 0.0000, 0.0000), Ni at (0.0000, 0.5000, 0.5000) and Pd at (0.5000, 0.5000, 0.0000).

[3]
Computed, not measured: a relaxed GdNiPd2 crystal at the GGA-PBE level of DFT.

The value obtained for the total energy is -0.2997 hartree per atom. Its energy above the most stable polymorph in this dataset is 0 meV per atom. The value obtained for the total magnetization is 6.83 μB per formula unit. For the density of states at the Fermi level, the calculation gives 5.1 states/eV/f.u. The energy relative to the elements is -594 meV/atom.

The structure belongs to space group P4/mmm (No. 123); the cell edges are 4.0964, 4.0964 and 4.0383 Å and the angles 90.00°, 90.00° and 90.00°. The distinct sites, in fractional coordinates, are Gd at (0.0000, 0.0000, 0.0000), Ni at (0.5000, 0.5000, 0.0000) and Pd at (0.0000, 0.5000, 0.5000).

[4]
Computed, not measured: a relaxed GdNiPd2 crystal at the GGA-PBE level of DFT.

The value obtained for the total energy is -0.2960 hartree per atom. Its energy above the most stable polymorph in this dataset is 102 meV per atom. The value obtained for the total magnetization is 7.17 μB per formula unit. For the density of states at the Fermi level, the calculation gives 3.8 states/eV/f.u. The energy relative to the elements is -492 meV/atom.

The structure belongs to space group R-3m (No. 166, hexagonal axes); the cell edges are 4.3475, 4.3475 and 13.6388 Å and the angles 90.00°, 90.00° and 120.00°. The distinct sites, in fractional coordinates, are Gd at (0.0000, 0.0000, 0.0000), Ni at (0.0000, 0.0000, 0.5000) and Pd at (0.0000, 0.0000, 0.2123).

[5]
Computed, not measured: a relaxed GdNiSbPd crystal at the GGA-PBE level of DFT.

The value obtained for the total energy is -0.2908 hartree per atom. The uncorrected formation energy is -0.62 eV per atom. The value obtained for the total magnetization is 7.08 μB per formula unit. For the density of states at the Fermi level, the calculation gives 2.1 states/eV/f.u.

The structure belongs to space group F-43m (No. 216); the cell edges are 6.7033, 6.7033 and 6.7033 Å and the angles 90.00°, 90.00° and 90.00°. The distinct sites, in fractional coordinates, are Gd at (0.0000, 0.0000, 0.0000), Ni at (0.2500, 0.2500, 0.2500), Sb at (0.0000, 0.0000, 0.5000) and Pd at (0.2500, 0.2500, 0.7500).

[6]
Computed, not measured: a relaxed GdScNiPd crystal at the GGA-PBE level of DFT.

The value obtained for the total energy is -0.3097 hartree per atom. The value obtained for the total magnetization is 7.28 μB per formula unit. For the density of states at the Fermi level, the calculation gives 3.9 states/eV/f.u. The energy relative to the elements is -581 meV/atom.

The structure belongs to space group F-43m (No. 216); the cell edges are 6.7615, 6.7615 and 6.7615 Å and the angles 90.00°, 90.00° and 90.00°. The distinct sites, in fractional coordinates, are Gd at (0.0000, 0.0000, 0.0000), Sc at (0.0000, 0.0000, 0.5000), Ni at (0.2500, 0.2500, 0.2500) and Pd at (0.2500, 0.2500, 0.7500).